[1]
First-principles (PBE) data for a geometry-optimized SiIrSN2 structure, as listed in Alexandria via LeMat-Bulk.

Calculated volume (A^3/atom): 15.10
Energy relative to the lowest polymorph listed for this composition (meV/atom): 206
E (Ry per atom): -0.4445
Formation energy from raw total energies (eV/atom): 0.965
Crystal system: tetragonal

```
data_SiIrSN2
_cell_length_a 3.776
_cell_length_b 3.776
_cell_length_c 5.297
_cell_angle_alpha 90.00
_cell_angle_beta 90.00
_cell_angle_gamma 90.00
_space_group_name_H-M_alt 'P 4/m m m'
_space_group_IT_number 123
_space_group_name_Hall '-P 4 2'
loop_
_atom_site_label
_atom_site_type_symbol
_atom_site_fract_x
_atom_site_fract_y
_atom_site_fract_z
Si1 Si 0.000 0.000 0.000
Ir1 Ir 0.500 0.500 0.500
S1 S 0.500 0.500 0.000
N1 N 0.000 0.500 0.500
```

=====

[2]
First-principles (PBE) data for a geometry-optimized La2MoW structure, as listed in Alexandria via LeMat-Bulk.

Calculated volume (A^3/atom): 22.06
Energy relative to the lowest polymorph listed for this composition (meV/atom): 415
E (Ry per atom): -0.5662
Crystal system: tetragonal
Energy of formation (meV/atom): 706

```
data_La2MoW
_cell_length_a 4.991
_cell_length_b 4.991
_cell_length_c 7.083
_cell_angle_alpha 90.00
_cell_angle_beta 90.00
_cell_angle_gamma 90.00
_space_group_name_H-M_alt 'I -4 m 2'
_space_group_IT_number 119
_space_group_name_Hall 'I -4 -2'
loop_
_atom_site_label
_atom_site_type_symbol
_atom_site_fract_x
_atom_site_fract_y
_atom_site_fract_z
La1 La 0.000 0.000 0.000
La2 La 0.000 0.500 0.250
Mo1 Mo 0.000 0.500 0.750
W1 W 0.000 0.000 0.500
```